[1]
Entry from Alexandria via LeMat-Bulk: a geometry-optimized AuSe2 structure (PBE).

Cell lengths 5.002, 5.002, 5.630 Å; angles 90.00, 90.00, 120.00 degrees
Positions (direct):
Se1 0.000 0.000 0.000
Se2 0.333 0.667 0.750
Au1 0.333 0.667 0.250
Se3 0.000 0.000 0.500
Au2 0.667 0.333 0.750
Se4 0.667 0.333 0.250

Properties
Energy relative to the elements, uncorrected: 1.710 eV per formula unit
Space-group type: P6_3/mmc



[2]
Entry from Alexandria via LeMat-Bulk: a geometry-optimized Au3Se structure (PBE).

Cell lengths 2.970, 2.970, 9.848 Å; angles 90.00, 90.00, 120.00 degrees
Positions (direct):
Au1 0.000 0.000 0.007
Au2 0.667 0.333 0.250
Se1 0.667 0.333 0.750
Au3 0.000 0.000 0.493

Properties
Energy relative to the elements, uncorrected: 0.868 eV per formula unit
Space-group type: P-6m2



[3]
Entry from Alexandria via LeMat-Bulk: a geometry-optimized AuSe2 structure (PBE).

Cell lengths 5.045, 5.045, 2.797 Å; angles 90.00, 90.00, 120.00 degrees
Positions (direct):
Se1 0.333 0.667 0.500
Se2 0.667 0.333 0.500
Au1 0.000 0.000 0.000

Properties
Energy relative to the elements, uncorrected: 1.382 eV per formula unit
Space-group type: P6/mmm



[4]
Entry from Alexandria via LeMat-Bulk: a geometry-optimized AuSe structure (PBE).

Cell lengths 8.170, 8.170, 5.279 Å; angles 90.00, 90.00, 120.00 degrees
Positions (direct):
Se1 0.393 0.048 0.750
Au1 0.871 0.293 0.250
Se2 0.345 0.393 0.250
Se3 0.952 0.345 0.750
Au2 0.129 0.707 0.750
Se4 0.048 0.655 0.250
Au3 0.421 0.129 0.250
Au4 0.293 0.421 0.750
Se5 0.655 0.607 0.750
Au5 0.707 0.579 0.250
Se6 0.607 0.952 0.250
Au6 0.579 0.871 0.750

Properties
Energy relative to the elements, uncorrected: -0.027 eV per formula unit
Space-group type: P6_3/m